# 1
First-principles (PBE) data for Sc3TaRh after structural relaxation, as listed in Alexandria via LeMat-Bulk.

Lattice parameters (Å, degrees): 4.951 4.951 4.951 90.00 90.00 90.00
Space group Pm-3m (No. 221)
Asymmetric unit:
Sc: 0.000 0.000 0.500
Ta: 0.000 0.000 0.000
Rh: 0.500 0.500 0.500

Results
Its uncorrected energy is -6.713 eV/atom.

***

# 2
First-principles (PBE) data for Ca2TcW after structural relaxation, as listed in Alexandria via LeMat-Bulk.

Lattice parameters (Å, degrees): 8.131 3.273 7.874 90.00 94.96 90.00
Space group Cm (No. 8)
Asymmetric unit:
Ca: 0.000 0.000 0.000
Ca: 0.217 0.000 0.604
Tc: 0.470 0.000 0.361
W: 0.253 0.500 0.252

Results
Its uncorrected energy is -6.337 eV/atom.

***

ΔE_f
In order: 4.6; 2.0
Unit: eV/f.u.